The following is a DFT calculation (PBE) of a relaxed structure of Zr2FeOs2.

Unit cell a=6.384 b=6.384 c=4.296 alpha=90.00 beta=90.00 gamma=90.00
Element x y z (fractional)
Zr  0.180  0.320  0.000
Zr  0.320  0.820  0.000
Zr  0.680  0.180  0.000
Zr  0.820  0.680  0.000
Fe  0.000  0.000  0.500
Fe  0.500  0.500  0.500
Os  0.138  0.638  0.500
Os  0.362  0.138  0.500
Os  0.638  0.862  0.500
Os  0.862  0.362  0.500

**Formation energy**: -0.060 eV/atom
**Fermi-level density of states**: 1.43 states/eV per atom

The following is a DFT calculation (PBE) of a relaxed structure of Na3YB2O6.

Unit cell a=6.598 b=8.585 c=12.171 alpha=90.00 beta=118.66 gamma=90.00
Element x y z (fractional)
Na  0.059  0.202  0.071
Na  0.059  0.298  0.571
Na  0.321  0.555  0.115
Na  0.321  0.945  0.615
Na  0.400  0.703  0.384
Na  0.400  0.797  0.884
Na  0.600  0.203  0.116
Na  0.600  0.297  0.616
Na  0.679  0.055  0.385
Na  0.679  0.445  0.885
Na  0.941  0.702  0.429
Na  0.941  0.798  0.929
Y  0.094  0.126  0.829
Y  0.094  0.374  0.329
Y  0.906  0.626  0.671
Y  0.906  0.874  0.171
B  0.167  0.059  0.380
B  0.167  0.441  0.880
B  0.364  0.588  0.624
B  0.364  0.912  0.124
B  0.636  0.088  0.876
B  0.636  0.412  0.376
B  0.833  0.559  0.120
B  0.833  0.941  0.620
O  0.075  0.117  0.257
O  0.075  0.383  0.757
O  0.142  0.599  0.894
O  0.142  0.901  0.394
O  0.239  0.687  0.660
O  0.239  0.813  0.160
O  0.252  0.508  0.510
O  0.252  0.992  0.010
O  0.263  0.164  0.477
O  0.263  0.336  0.977
O  0.400  0.066  0.800
O  0.400  0.434  0.300
O  0.600  0.566  0.700
O  0.600  0.934  0.200
O  0.737  0.664  0.023
O  0.737  0.836  0.523
O  0.748  0.008  0.990
O  0.748  0.492  0.490
O  0.761  0.187  0.840
O  0.761  0.313  0.340
O  0.858  0.099  0.606
O  0.858  0.401  0.106
O  0.925  0.617  0.243
O  0.925  0.883  0.743

**Fermi-level density of states**: 0.00 states/eV per atom
**Formation energy (no corrections)**: -2.4869 eV per atom

The following is a DFT calculation (PBE) of a relaxed structure of ErSc2Hg.

Unit cell a=10.657 b=10.657 c=10.657 alpha=18.26 beta=18.26 gamma=18.26
Element x y z (fractional)
Er  0.000  0.000  0.000
Sc  0.101  0.101  0.101
Sc  0.248  0.248  0.248
Hg  0.507  0.507  0.507

**Formation energy**: -0.005 eV/atom
**Fermi-level density of states**: 1.43 states/eV per atom
**Energy above the most stable polymorph in this dataset**: 0.184 eV/atom